#A
! PmTh2Tc GGA-PBE relaxed; values from VASP
! total magnetization	0.00	μB per formula unit
! symmetry	R-3m
! density of states at the Fermi level	1.319	states/eV/atom
&SYSTEM
  ibrav = 0, nat = 4, ntyp = 3
/
ATOMIC_SPECIES
Tc 98.00 Tc.upf
Th 232.04 Th.upf
Pm 145.00 Pm.upf
ATOMIC_POSITIONS crystal
Tc 0.5000 0.5000 0.5000
Th 0.1127 0.1127 0.6619
Th 0.8873 0.8873 0.3381
Pm 0.0000 0.0000 0.0000
CELL_PARAMETERS angstrom
3.8617 0.0000 0.0000
1.9308 3.3443 0.0000
1.9308 1.1148 10.2664

#B
! PmTh2Tc GGA-PBE relaxed; values from VASP
! total magnetization	0.00	μB per formula unit
! symmetry	R3m
! density of states at the Fermi level	1.375	states/eV/atom
&SYSTEM
  ibrav = 0, nat = 4, ntyp = 3
/
ATOMIC_SPECIES
Pm 145.00 Pm.upf
Th 232.04 Th.upf
Tc 98.00 Tc.upf
ATOMIC_POSITIONS crystal
Pm 0.5024 0.5024 0.4929
Th 0.0588 0.0588 0.8236
Th 0.2750 0.2750 0.1749
Tc 0.6638 0.6638 0.0086
CELL_PARAMETERS angstrom
-3.8340 1.2232 0.4748
-3.0408 -2.2615 -1.4354
-2.7122 -4.6309 7.3217

Winner for stability: #B

#A
! PmTh2Tc GGA-PBE relaxed; values from VASP
! total magnetization	0.00	μB per formula unit
! symmetry	P2_1/m
! density of states at the Fermi level	1.144	states/eV/atom
&SYSTEM
  ibrav = 0, nat = 8, ntyp = 3
/
ATOMIC_SPECIES
Pm 145.00 Pm.upf
Th 232.04 Th.upf
Tc 98.00 Tc.upf
ATOMIC_POSITIONS crystal
Pm 0.9212 0.8447 0.2500
Pm 0.0788 0.1553 0.7500
Th 0.3595 0.7183 0.5638
Th 0.6405 0.2817 0.4362
Th 0.3595 0.7183 0.9362
Th 0.6405 0.2817 0.0638
Tc 0.7881 0.5733 0.7500
Tc 0.2119 0.4267 0.2500
CELL_PARAMETERS angstrom
-0.3161 -3.1981 -2.2238
-1.3274 -1.6374 5.9789
-9.3158 1.9816 -1.5256

#B
! PmTh2Tc GGA-PBE relaxed; values from VASP
! total magnetization	0.00	μB per formula unit
! symmetry	Pnma
! density of states at the Fermi level	1.132	states/eV/atom
&SYSTEM
  ibrav = 0, nat = 16, ntyp = 3
/
ATOMIC_SPECIES
Pm 145.00 Pm.upf
Th 232.04 Th.upf
Tc 98.00 Tc.upf
ATOMIC_POSITIONS crystal
Pm 0.6411 0.5399 0.2500
Pm 0.8589 0.0399 0.2500
Pm 0.3589 0.4601 0.7500
Pm 0.1411 0.9601 0.7500
Th 0.1679 0.6702 0.0628
Th 0.3321 0.1702 0.4372
Th 0.8321 0.3298 0.5628
Th 0.6679 0.8298 0.9372
Th 0.8321 0.3298 0.9372
Th 0.6679 0.8298 0.5628
Th 0.1679 0.6702 0.4372
Th 0.3321 0.1702 0.0628
Tc 0.0997 0.3891 0.2500
Tc 0.4003 0.8891 0.2500
Tc 0.9003 0.6109 0.7500
Tc 0.5997 0.1109 0.7500
CELL_PARAMETERS angstrom
-6.3621 -0.3751 0.9428
-1.0529 -0.3566 -7.2470
0.6287 -9.6944 0.3857

#C
! PmTh2Tc GGA-PBE relaxed; values from VASP
! total magnetization	0.00	μB per formula unit
! symmetry	P4/mmm
! density of states at the Fermi level	1.832	states/eV/atom
&SYSTEM
  ibrav = 0, nat = 4, ntyp = 3
/
ATOMIC_SPECIES
Tc 98.00 Tc.upf
Th 232.04 Th.upf
Pm 145.00 Pm.upf
ATOMIC_POSITIONS crystal
Tc 0.5000 0.5000 0.0000
Th 0.0000 0.0000 0.7986
Th 0.0000 0.0000 0.2014
Pm 0.5000 0.5000 0.5000
CELL_PARAMETERS angstrom
3.5621 0.0000 0.0000
0.0000 3.5621 0.0000
0.0000 0.0000 8.7709

Winner for stability: #B

#A
! Pm2TlTc GGA-PBE relaxed; values from VASP
! total magnetization	0.00	μB per formula unit
! symmetry	R-3m
! density of states at the Fermi level	0.914	states/eV/atom
&SYSTEM
  ibrav = 0, nat = 4, ntyp = 3
/
ATOMIC_SPECIES
Tl 204.38 Tl.upf
Tc 98.00 Tc.upf
Pm 145.00 Pm.upf
ATOMIC_POSITIONS crystal
Tl 0.0000 0.0000 0.0000
Tc 0.5000 0.5000 0.5000
Pm 0.1041 0.1041 0.6877
Pm 0.8959 0.8959 0.3123
CELL_PARAMETERS angstrom
-0.1730 -2.1146 2.8291
-0.3767 -3.4907 -0.4220
10.5232 -3.0007 0.6106

#B
! Pm2TlTc GGA-PBE relaxed; values from VASP
! total magnetization	0.00	μB per formula unit
! symmetry	P4/mmm
! density of states at the Fermi level	0.915	states/eV/atom
&SYSTEM
  ibrav = 0, nat = 4, ntyp = 3
/
ATOMIC_SPECIES
Tl 204.38 Tl.upf
Tc 98.00 Tc.upf
Pm 145.00 Pm.upf
ATOMIC_POSITIONS crystal
Tl 0.5000 0.5000 0.5000
Tc 0.5000 0.5000 0.0000
Pm 0.0000 0.0000 0.7985
Pm 0.0000 0.0000 0.2015
CELL_PARAMETERS angstrom
3.5161 0.0000 0.0000
0.0000 3.5161 0.0000
0.0000 0.0000 8.4533

Winner for stability: #B

#A
! PmTm2Tc GGA-PBE relaxed; values from VASP
! total magnetization	0.00	μB per formula unit
! symmetry	Pnma
! density of states at the Fermi level	0.816	states/eV/atom
&SYSTEM
  ibrav = 0, nat = 16, ntyp = 3
/
ATOMIC_SPECIES
Pm 145.00 Pm.upf
Tm 168.93 Tm.upf
Tc 98.00 Tc.upf
ATOMIC_POSITIONS crystal
Pm 0.6238 0.5410 0.2500
Pm 0.8762 0.0410 0.2500
Pm 0.3762 0.4590 0.7500
Pm 0.1238 0.9590 0.7500
Tm 0.1545 0.6749 0.0640
Tm 0.3455 0.1749 0.4360
Tm 0.8455 0.3251 0.5640
Tm 0.6545 0.8251 0.9360
Tm 0.8455 0.3251 0.9360
Tm 0.6545 0.8251 0.5640
Tm 0.1545 0.6749 0.4360
Tm 0.3455 0.1749 0.0640
Tc 0.0480 0.3826 0.2500
Tc 0.4520 0.8826 0.2500
Tc 0.9520 0.6174 0.7500
Tc 0.5480 0.1174 0.7500
CELL_PARAMETERS angstrom
-2.4908 5.2888 2.2835
-0.0020 -2.9724 6.8821
8.2919 3.2905 1.4235

#B
! PmTm2Tc GGA-PBE relaxed; values from VASP
! total magnetization	0.00	μB per formula unit
! symmetry	P4/mmm
! density of states at the Fermi level	1.699	states/eV/atom
&SYSTEM
  ibrav = 0, nat = 4, ntyp = 3
/
ATOMIC_SPECIES
Tm 168.93 Tm.upf
Tc 98.00 Tc.upf
Pm 145.00 Pm.upf
ATOMIC_POSITIONS crystal
Tm 0.0000 0.0000 0.8193
Tm 0.0000 0.0000 0.1807
Tc 0.5000 0.5000 0.0000
Pm 0.5000 0.5000 0.5000
CELL_PARAMETERS angstrom
-0.2190 2.6293 -2.1765
-0.7753 -2.1623 -2.5341
-8.7576 0.8723 1.9349

#C
! PmTm2Tc GGA-PBE relaxed; values from VASP
! total magnetization	0.00	μB per formula unit
! symmetry	R-3m
! density of states at the Fermi level	0.932	states/eV/atom
&SYSTEM
  ibrav = 0, nat = 4, ntyp = 3
/
ATOMIC_SPECIES
Tm 168.93 Tm.upf
Tc 98.00 Tc.upf
Pm 145.00 Pm.upf
ATOMIC_POSITIONS crystal
Tm 0.2742 0.2742 0.1774
Tm 0.7258 0.7258 0.8226
Tc 0.0000 0.0000 0.0000
Pm 0.5000 0.5000 0.5000
CELL_PARAMETERS angstrom
4.8087 0.0000 0.0000
2.4043 4.1644 0.0000
2.4043 1.3881 5.0596

Winner for stability: #A